DFT (PBE) results for an optimized crystal structure of Sr3Y.

Cell: 7.122 7.122 6.905 Å, 102.90 102.90 33.34°
Sites, in units of the cell vectors:
Sr (0.000, 0.000, 0.000)
Sr (0.240, 0.240, 0.736)
Sr (0.760, 0.760, 0.264)
Y (0.500, 0.500, 0.500)

Output
The value obtained for the formation energy is 0.18 eV/atom. The theoretical density comes out at 3.12 g/cm3.